Record 1
! Sc3BiW, relaxed, DFT PBE-GGA; values from VASP
&SYSTEM
  ibrav = 0, nat = 5, ntyp = 3
/
ATOMIC_SPECIES
Sc 44.96 Sc.upf
Bi 208.98 Bi.upf
W 183.84 W.upf
ATOMIC_POSITIONS angstrom
Sc 0.0000 2.6634 0.0000
Sc 0.0000 0.0000 2.6634
Sc 2.6634 0.0000 0.0000
Bi 0.0000 0.0000 0.0000
W 2.6634 2.6634 2.6634
CELL_PARAMETERS angstrom
5.3267 0.0000 0.0000
0.0000 5.3267 0.0000
0.0000 0.0000 5.3267
! VASP energy   -5.856 eV/atom
! Space group   Pm-3m
! E above lowest polymorph   0.9172 eV/atom
! Density of states at the Fermi level   10.2 states/eV per cell
! Energy of formation from the pure elements   6.5 eV per formula unit



Record 2
! Sc2Bi4W, relaxed, DFT PBE-GGA; values from VASP
&SYSTEM
  ibrav = 0, nat = 7, ntyp = 3
/
ATOMIC_SPECIES
Sc 44.96 Sc.upf
Bi 208.98 Bi.upf
W 183.84 W.upf
ATOMIC_POSITIONS angstrom
Sc 6.0658 -6.8764 -2.8014
Sc 2.2145 -2.7628 -2.1688
Bi 4.2817 -5.4040 -4.4759
Bi 3.9987 -4.2353 -0.4943
Bi 1.9965 0.3414 -1.8270
Bi -0.7418 -2.3121 -1.2427
W 0.0000 0.0000 0.0000
CELL_PARAMETERS angstrom
-1.4836 -4.6242 -2.4854
3.9930 0.6828 -3.6539
5.7710 -5.6979 1.1691
! VASP energy   -5.466 eV/atom
! Space group   I4/mmm
! Density of states at the Fermi level   6.5 states/eV per cell
! Energy of formation from the pure elements   2.9 eV per formula unit



Record 3
! ScBiW3, relaxed, DFT PBE-GGA; values from VASP
&SYSTEM
  ibrav = 0, nat = 5, ntyp = 3
/
ATOMIC_SPECIES
Sc 44.96 Sc.upf
Bi 208.98 Bi.upf
W 183.84 W.upf
ATOMIC_POSITIONS angstrom
Sc 0.0000 0.0000 0.0000
Bi -3.5097 -2.1685 -0.2834
W -0.7568 -1.6116 1.5907
W -2.1945 0.9356 -0.0961
W -0.5584 -1.4925 -1.7779
CELL_PARAMETERS angstrom
-1.1169 -2.9850 -3.5558
-1.5136 -3.2233 3.1813
-4.3889 1.8712 -0.1923
! VASP energy   -7.471 eV/atom
! Space group   Pm-3m
! E above lowest polymorph   0.0000 eV/atom
! Density of states at the Fermi level   5.2 states/eV per cell
! Energy of formation from the pure elements   11.7 eV per formula unit



Record 4
! ScBi2W, relaxed, DFT PBE-GGA; values from VASP
&SYSTEM
  ibrav = 0, nat = 8, ntyp = 3
/
ATOMIC_SPECIES
Sc 44.96 Sc.upf
Bi 208.98 Bi.upf
W 183.84 W.upf
ATOMIC_POSITIONS angstrom
Sc -2.8336 -3.5133 0.5266
Sc -1.6690 -6.9382 3.5497
Bi -4.2065 -2.2147 2.7872
Bi -0.5517 -5.0475 1.5854
Bi -2.8998 -5.4631 5.7839
Bi -5.7077 -9.2967 6.2808
W 0.0000 0.0000 0.0000
W -5.0138 -4.0728 4.6689
CELL_PARAMETERS angstrom
-6.1783 -0.6480 1.6458
0.5112 -6.3787 -0.5925
-1.0157 -3.9843 7.1654
! VASP energy   -5.798 eV/atom
! Space group   I-42d
! E above lowest polymorph   0.6610 eV/atom
! Density of states at the Fermi level   5.9 states/eV per cell
! Energy of formation from the pure elements   3.9 eV per formula unit